Ca2VCl: optimized geometry, PBE-GGA.

```
Ca2VCl
1.0
0.000 3.838 3.838
3.838 0.000 3.838
3.838 3.838 0.000
Ca V Cl
2 1 1
Cartesian
1.919 1.919 1.919
5.757 5.757 5.757
0.000 0.000 0.000
3.838 3.838 3.838
```

The polymorph energy (0 for the lowest one) is 154 meV/atom. Its space group is Fm-3m.